# Ba2UAgO6

A geometry-optimized Ba2UAgO6 structure (PBE, the Alexandria database).

## Properties
total moment: 0.057 μB/atom
energy relative to the elements, uncorrected: -2.4787 eV per atom
Fermi-level density of states: 0.325 states/eV/atom
calculated density: 7027 kg/m³
raw total energy: -7.252 eV/atom

a = 11.130 Å, b = 5.941 Å, c = 6.070 Å
α = 90.00°, β = 122.45°, γ = 90.00°
Space group C2/m (No. 12)
Symmetry-distinct sites (fractional):
Ba: 0.246 0.000 0.229 (multiplicity 4)
U: 0.000 0.000 0.500 (multiplicity 2)
Ag: 0.000 0.500 0.000 (multiplicity 2)
O: 0.047 0.245 0.790 (multiplicity 8)
O: 0.209 0.000 0.628 (multiplicity 4)